Record 1
LaPr3Pb4: relaxed, PBE-GGA.

Lattice parameters (Å, degrees): 10.4578 10.4578 10.4578 159.43 137.85 47.35
Element x y z (fractional)
La  0.0000  0.0000  0.0000
Pr  0.2175  0.7175  0.5000
Pr  0.5000  0.5000  0.0000
Pr  0.7825  0.2825  0.5000
Pb  0.1596  0.8714  0.2882
Pb  0.4168  0.1286  0.2882
Pb  0.5832  0.8714  0.7118
Pb  0.8404  0.1286  0.7118

Results
Final energy ... -4.671 eV/atom
Energy above the lowest structure with this stoichiometry ... 128 meV/atom
SG ... Immm

Record 2
ScPRu2: relaxed, PBE-GGA.

Lattice parameters (Å, degrees): 5.6522 5.6522 5.6522 103.07 103.07 123.22
Element x y z (fractional)
Sc  0.0000  0.0000  0.0000
Sc  0.7500  0.2500  0.5000
P  0.2500  0.7500  0.5000
P  0.5000  0.5000  0.0000
Ru  0.2105  0.6250  0.0855
Ru  0.3750  0.4605  0.5855
Ru  0.5395  0.1250  0.9145
Ru  0.8750  0.7895  0.4145

Results
Final energy ... -7.962 eV/atom
SG ... I-42d